Record 1
The following is a PBE-GGA calculation of an optimized crystal structure of Rb2Sn3BiAu4, from Alexandria via LeMat-Bulk.

Formation enthalpy at 0 K: -0.27 eV/atom
Space-group type: P-4m2

a = 5.0839 Å, b = 5.0839 Å, c = 11.0313 Å
α = 90.00°, β = 90.00°, γ = 90.00°
Fractional positions:
Rb 0.0000 0.5000 0.7567
Sn 0.0000 0.5000 0.1111
Rb 0.5000 0.0000 0.2433
Au 0.0000 0.5000 0.3659
Sn 0.0000 0.0000 0.5000
Au 0.0000 0.0000 0.0000
Sn 0.5000 0.0000 0.8889
Au 0.5000 0.0000 0.6341
Au 0.5000 0.5000 0.0000
Bi 0.5000 0.5000 0.5000

Record 2
The following is a PBE-GGA calculation of an optimized crystal structure of TcSbI2O, from Alexandria via LeMat-Bulk.

E_form (uncorrected): 262.6 kJ/mol of formula units
Space-group type: P4/mmm

a = 6.1292 Å, b = 6.1292 Å, c = 4.0567 Å
α = 90.00°, β = 90.00°, γ = 90.00°
Fractional positions:
Sb 0.0000 0.0000 0.0000
O 0.0000 0.0000 0.5000
Tc 0.5000 0.5000 0.5000
I 0.5000 0.0000 0.0000
I 0.0000 0.5000 0.0000

Record 3
The following is a PBE-GGA calculation of an optimized crystal structure of SnTe4Au2, from Alexandria via LeMat-Bulk.

E_form (uncorrected): -24.0 kJ/mol of formula units
Space-group type: C2/c

a = 7.9917 Å, b = 7.9922 Å, c = 9.2967 Å
α = 115.47°, β = 115.40°, γ = 90.05°
Fractional positions:
Te 0.3887 0.6211 0.7776
Sn 0.0006 0.0007 0.9999
Te 0.4067 0.1385 0.2774
Te 0.3796 0.6114 0.2237
Au 0.6250 0.3746 0.2497
Te 0.3878 0.1560 0.7764
Te 0.8707 0.1382 0.2763
Te 0.8436 0.6112 0.2226
Au 0.6254 0.8750 0.2504
Te 0.8609 0.1293 0.7224
Sn 0.2495 0.7494 0.5001
Te 0.8619 0.5944 0.7236
Au 0.6246 0.3750 0.7496
Au 0.1249 0.3753 0.7503

Record 4
The following is a PBE-GGA calculation of an optimized crystal structure of Ce3PuGe, from Alexandria via LeMat-Bulk.

Formation enthalpy at 0 K: -0.03 eV/atom
Space-group type: Pmma

a = 3.0569 Å, b = 6.1370 Å, c = 12.7494 Å
α = 90.00°, β = 90.00°, γ = 90.00°
Fractional positions:
Pu 0.5000 0.7500 0.8031
Ce 0.5000 0.5000 0.0000
Ce 0.5000 0.0238 0.6062
Ce 0.5000 0.4762 0.6062
Ce 0.5000 0.5238 0.3938
Ce 0.5000 0.9762 0.3938
Ge 0.0000 0.2500 0.8068
Ge 0.0000 0.7500 0.1932
Pu 0.5000 0.2500 0.1969
Ce 0.5000 0.0000 0.0000

Record 5
The following is a PBE-GGA calculation of an optimized crystal structure of HfReH2, from Alexandria via LeMat-Bulk.

Raw total energy: -0.5402 Ry per atom
Space-group type: I-42d

a = 4.1774 Å, b = 4.1774 Å, c = 5.6289 Å
α = 68.22°, β = 68.22°, γ = 90.00°
Fractional positions:
Re 0.0000 0.0000 0.0000
Hf 0.2500 0.7500 0.5000
Hf 0.5000 0.5000 0.0000
H 0.8750 0.9150 0.7500
H 0.0850 0.6250 0.2500
H 0.6650 0.1250 0.2500
H 0.3750 0.3350 0.7500
Re 0.7500 0.2500 0.5000

Record 6
The following is a PBE-GGA calculation of an optimized crystal structure of Ac2Zn3, from Alexandria via LeMat-Bulk.

Formation enthalpy at 0 K: -0.21 eV/atom
Space-group type: R-3m

a = 4.7211 Å, b = 4.7211 Å, c = 7.9858 Å
α = 72.81°, β = 72.81°, γ = 60.00°
Fractional positions:
Ac 0.0837 0.0837 0.7489
Zn 0.6628 0.6628 0.0116
Zn 0.5000 0.5000 0.5000
Zn 0.3372 0.3372 0.9884
Ac 0.9163 0.9163 0.2511

So what do the calculations give for ρ? Going down the list: 8.9 5.3 7.2 10.2 14.6 7.5 Mg/m³.